(1)
# Mg2TlIn meta-GGA SCAN PBEsol geometry
data_Mg2TlIn
_chemical_formula_sum 'Mg2 Tl1 In1'
_symmetry_space_group_name_H-M 'P 1'
_symmetry_Int_Tables_number 1
_cell_length_a 3.939
_cell_length_b 3.939
_cell_length_c 6.150
_cell_angle_alpha 90.00
_cell_angle_beta 90.00
_cell_angle_gamma 90.00
loop_
_symmetry_equiv_pos_as_xyz
'x,y,z'
loop_
_atom_site_label
_atom_site_type_symbol
_atom_site_fract_x
_atom_site_fract_y
_atom_site_fract_z
Tl1 Tl 0.000 0.000 0.489
Mg1 Mg 0.000 0.000 0.990
Mg2 Mg 0.500 0.500 0.257
In1 In 0.500 0.500 0.764
# Size of the total moment in μB/atom: 0.00
# Uncorrected energy in eV per atom: -29.007
# Space-group type: P4mm (99)

(2)
# TlAsNF2 meta-GGA SCAN PBEsol geometry
data_TlAsNF2
_chemical_formula_sum 'Tl1 As1 N1 F2'
_symmetry_space_group_name_H-M 'P 1'
_symmetry_Int_Tables_number 1
_cell_length_a 4.342
_cell_length_b 4.342
_cell_length_c 4.346
_cell_angle_alpha 90.00
_cell_angle_beta 90.00
_cell_angle_gamma 90.00
loop_
_symmetry_equiv_pos_as_xyz
'x,y,z'
loop_
_atom_site_label
_atom_site_type_symbol
_atom_site_fract_x
_atom_site_fract_y
_atom_site_fract_z
Tl1 Tl 0.000 0.000 0.000
N1 N 0.000 0.000 0.500
As1 As 0.500 0.500 0.500
F1 F 0.000 0.500 0.000
F2 F 0.500 0.000 0.000
# Size of the total moment in μB/atom: 0.20
# Uncorrected energy in eV per atom: -21.644
# Space-group type: P4/mmm (123)

(3)
# AsAuIO2 meta-GGA SCAN PBEsol geometry
data_AsAuIO2
_chemical_formula_sum 'As1 Au1 I1 O2'
_symmetry_space_group_name_H-M 'P 1'
_symmetry_Int_Tables_number 1
_cell_length_a 3.924
_cell_length_b 3.924
_cell_length_c 6.968
_cell_angle_alpha 90.00
_cell_angle_beta 90.00
_cell_angle_gamma 90.00
loop_
_symmetry_equiv_pos_as_xyz
'x,y,z'
loop_
_atom_site_label
_atom_site_type_symbol
_atom_site_fract_x
_atom_site_fract_y
_atom_site_fract_z
I1 I 0.000 0.000 0.500
As1 As 0.500 0.500 0.500
Au1 Au 0.000 0.000 0.000
O1 O 0.000 0.500 0.000
O2 O 0.500 0.000 0.000
# Size of the total moment in μB/atom: 0.35
# Uncorrected energy in eV per atom: -27.107
# Space-group type: P4/mmm (123)

(4)
# K4Be3O5 meta-GGA SCAN PBEsol geometry
data_K4Be3O5
_chemical_formula_sum 'K8 Be6 O10'
_symmetry_space_group_name_H-M 'P 1'
_symmetry_Int_Tables_number 1
_cell_length_a 6.272
_cell_length_b 6.272
_cell_length_c 10.114
_cell_angle_alpha 102.18
_cell_angle_beta 101.59
_cell_angle_gamma 109.61
loop_
_symmetry_equiv_pos_as_xyz
'x,y,z'
loop_
_atom_site_label
_atom_site_type_symbol
_atom_site_fract_x
_atom_site_fract_y
_atom_site_fract_z
K1 K 0.443 0.182 0.405
K2 K 0.776 0.537 0.095
K3 K 0.557 0.818 0.595
K4 K 0.224 0.463 0.905
K5 K 0.253 0.985 0.077
K6 K 0.909 0.676 0.423
K7 K 0.747 0.015 0.923
K8 K 0.091 0.324 0.577
Be1 Be 0.309 0.559 0.250
Be2 Be 0.691 0.441 0.750
Be3 Be 0.269 0.019 0.750
Be4 Be 0.731 0.981 0.250
Be5 Be 0.981 0.731 0.750
Be6 Be 0.019 0.269 0.250
O1 O 0.480 0.230 0.750
O2 O 0.520 0.770 0.250
O3 O 0.878 0.652 0.879
O4 O 0.773 0.498 0.621
O5 O 0.122 0.348 0.121
O6 O 0.227 0.502 0.379
O7 O 0.268 0.778 0.767
O8 O 0.011 0.000 0.733
O9 O 0.732 0.222 0.233
O10 O 0.989 0.000 0.267
# Size of the total moment in μB/atom: 0.01
# Uncorrected energy in eV per atom: -8.697
# Space-group type: C2/c (15)

(5)
# CsBeIrF2 meta-GGA SCAN PBEsol geometry
data_CsBeIrF2
_chemical_formula_sum 'Cs1 Be1 Ir1 F2'
_symmetry_space_group_name_H-M 'P 1'
_symmetry_Int_Tables_number 1
_cell_length_a 3.806
_cell_length_b 3.806
_cell_length_c 4.929
_cell_angle_alpha 90.00
_cell_angle_beta 90.00
_cell_angle_gamma 90.00
loop_
_symmetry_equiv_pos_as_xyz
'x,y,z'
loop_
_atom_site_label
_atom_site_type_symbol
_atom_site_fract_x
_atom_site_fract_y
_atom_site_fract_z
Cs1 Cs 0.500 0.500 0.500
Be1 Be 0.000 0.000 0.000
Ir1 Ir 0.000 0.000 0.500
F1 F 0.000 0.500 0.000
F2 F 0.500 0.000 0.000
# Size of the total moment in μB/atom: 0.00
# Uncorrected energy in eV per atom: -24.796
# Space-group type: P4/mmm (123)

(6)
# TaSb2As meta-GGA SCAN PBEsol geometry
data_TaSb2As
_chemical_formula_sum 'Ta1 Sb2 As1'
_symmetry_space_group_name_H-M 'P 1'
_symmetry_Int_Tables_number 1
_cell_length_a 3.557
_cell_length_b 4.891
_cell_length_c 6.366
_cell_angle_alpha 112.52
_cell_angle_beta 90.00
_cell_angle_gamma 90.00
loop_
_symmetry_equiv_pos_as_xyz
'x,y,z'
loop_
_atom_site_label
_atom_site_type_symbol
_atom_site_fract_x
_atom_site_fract_y
_atom_site_fract_z
Sb1 Sb 0.000 0.183 0.865
Sb2 Sb 0.000 0.817 0.135
As1 As 0.500 0.500 0.500
Ta1 Ta 0.500 0.000 0.500
# Size of the total moment in μB/atom: 0.00
# Uncorrected energy in eV per atom: -40.215
# Space-group type: P2/m (10)

(7)
# Ta7Mo meta-GGA SCAN PBEsol geometry
data_Ta7Mo
_chemical_formula_sum 'Ta7 Mo1'
_symmetry_space_group_name_H-M 'P 1'
_symmetry_Int_Tables_number 1
_cell_length_a 3.248
_cell_length_b 6.534
_cell_length_c 7.296
_cell_angle_alpha 116.60
_cell_angle_beta 90.00
_cell_angle_gamma 90.00
loop_
_symmetry_equiv_pos_as_xyz
'x,y,z'
loop_
_atom_site_label
_atom_site_type_symbol
_atom_site_fract_x
_atom_site_fract_y
_atom_site_fract_z
Mo1 Mo 0.000 0.000 0.000
Ta1 Ta 0.500 0.635 0.756
Ta2 Ta 0.000 0.254 0.508
Ta3 Ta 0.500 0.880 0.244
Ta4 Ta 0.000 0.500 0.000
Ta5 Ta 0.500 0.120 0.756
Ta6 Ta 0.000 0.746 0.492
Ta7 Ta 0.500 0.365 0.244
# Size of the total moment in μB/atom: 0.00
# Uncorrected energy in eV per atom: -62.674
# Space-group type: Cmmm (65)

(8)
# TaN meta-GGA SCAN PBEsol geometry
data_TaN
_chemical_formula_sum 'Ta3 N3'
_symmetry_space_group_name_H-M 'P 1'
_symmetry_Int_Tables_number 1
_cell_length_a 2.896
_cell_length_b 5.186
_cell_length_c 5.186
_cell_angle_alpha 120.00
_cell_angle_beta 90.00
_cell_angle_gamma 90.00
loop_
_symmetry_equiv_pos_as_xyz
'x,y,z'
loop_
_atom_site_label
_atom_site_type_symbol
_atom_site_fract_x
_atom_site_fract_y
_atom_site_fract_z
Ta1 Ta 0.000 0.000 0.000
Ta2 Ta 0.500 0.667 0.333
Ta3 Ta 0.500 0.333 0.667
N1 N 0.000 0.607 0.607
N2 N 0.000 0.393 0.000
N3 N 0.000 0.000 0.393
# Size of the total moment in μB/atom: 0.00
# Uncorrected energy in eV per atom: -39.252
# Space-group type: P-62m (189)

(9)
# SnBiTeI2 meta-GGA SCAN PBEsol geometry
data_SnBiTeI2
_chemical_formula_sum 'Sn1 Bi1 Te1 I2'
_symmetry_space_group_name_H-M 'P 1'
_symmetry_Int_Tables_number 1
_cell_length_a 5.942
_cell_length_b 5.942
_cell_length_c 5.932
_cell_angle_alpha 90.00
_cell_angle_beta 90.00
_cell_angle_gamma 90.00
loop_
_symmetry_equiv_pos_as_xyz
'x,y,z'
loop_
_atom_site_label
_atom_site_type_symbol
_atom_site_fract_x
_atom_site_fract_y
_atom_site_fract_z
I1 I 0.000 0.500 0.000
I2 I 0.500 0.000 0.000
Te1 Te 0.000 0.000 0.500
Bi1 Bi 0.000 0.000 0.000
Sn1 Sn 0.500 0.500 0.500
# Size of the total moment in μB/atom: 0.14
# Uncorrected energy in eV per atom: -44.734
# Space-group type: P4/mmm (123)

(10)
# CeOs2 meta-GGA SCAN PBEsol geometry
data_CeOs2
_chemical_formula_sum 'Ce2 Os4'
_symmetry_space_group_name_H-M 'P 1'
_symmetry_Int_Tables_number 1
_cell_length_a 5.332
_cell_length_b 5.332
_cell_length_c 5.332
_cell_angle_alpha 60.00
_cell_angle_beta 60.00
_cell_angle_gamma 60.00
loop_
_symmetry_equiv_pos_as_xyz
'x,y,z'
loop_
_atom_site_label
_atom_site_type_symbol
_atom_site_fract_x
_atom_site_fract_y
_atom_site_fract_z
Ce1 Ce 0.250 0.250 0.250
Ce2 Ce 0.000 0.000 0.000
Os1 Os 0.625 0.625 0.125
Os2 Os 0.625 0.125 0.625
Os3 Os 0.625 0.625 0.625
Os4 Os 0.125 0.625 0.625
# Size of the total moment in μB/atom: 0.00
# Uncorrected energy in eV per atom: -63.089
# Space-group type: Fd-3m (227)

(11)
# Rb3NiAu meta-GGA SCAN PBEsol geometry
data_Rb3NiAu
_chemical_formula_sum 'Rb3 Ni1 Au1'
_symmetry_space_group_name_H-M 'P 1'
_symmetry_Int_Tables_number 1
_cell_length_a 6.338
_cell_length_b 6.338
_cell_length_c 6.338
_cell_angle_alpha 90.00
_cell_angle_beta 90.00
_cell_angle_gamma 90.00
loop_
_symmetry_equiv_pos_as_xyz
'x,y,z'
loop_
_atom_site_label
_atom_site_type_symbol
_atom_site_fract_x
_atom_site_fract_y
_atom_site_fract_z
Ni1 Ni 0.500 0.500 0.500
Au1 Au 0.000 0.000 0.000
Rb1 Rb 0.000 0.500 0.000
Rb2 Rb 0.000 0.000 0.500
Rb3 Rb 0.500 0.000 0.000
# Size of the total moment in μB/atom: 0.05
# Uncorrected energy in eV per atom: -29.057
# Space-group type: Pm-3m (221)

(12)
# BaBe3Co meta-GGA SCAN PBEsol geometry
data_BaBe3Co
_chemical_formula_sum 'Ba1 Be3 Co1'
_symmetry_space_group_name_H-M 'P 1'
_symmetry_Int_Tables_number 1
_cell_length_a 4.331
_cell_length_b 4.331
_cell_length_c 4.331
_cell_angle_alpha 90.00
_cell_angle_beta 90.00
_cell_angle_gamma 90.00
loop_
_symmetry_equiv_pos_as_xyz
'x,y,z'
loop_
_atom_site_label
_atom_site_type_symbol
_atom_site_fract_x
_atom_site_fract_y
_atom_site_fract_z
Be1 Be 0.000 0.500 0.000
Be2 Be 0.000 0.000 0.500
Be3 Be 0.500 0.000 0.000
Co1 Co 0.000 0.000 0.000
Ba1 Ba 0.500 0.500 0.500
# Size of the total moment in μB/atom: 0.00
# Uncorrected energy in eV per atom: -13.608
# Space-group type: Pm-3m (221)

(13)
# KMgZr2 meta-GGA SCAN PBEsol geometry
data_KMgZr2
_chemical_formula_sum 'K1 Mg1 Zr2'
_symmetry_space_group_name_H-M 'P 1'
_symmetry_Int_Tables_number 1
_cell_length_a 2.887
_cell_length_b 6.267
_cell_length_c 6.466
_cell_angle_alpha 118.99
_cell_angle_beta 90.00
_cell_angle_gamma 90.00
loop_
_symmetry_equiv_pos_as_xyz
'x,y,z'
loop_
_atom_site_label
_atom_site_type_symbol
_atom_site_fract_x
_atom_site_fract_y
_atom_site_fract_z
K1 K 0.500 0.000 0.000
Mg1 Mg 0.500 0.500 0.000
Zr1 Zr 0.000 0.500 0.500
Zr2 Zr 0.000 0.000 0.500
# Size of the total moment in μB/atom: 0.00
# Uncorrected energy in eV per atom: -17.908
# Space-group type: Cmmm (65)

(14)
# Mg2AgMo meta-GGA SCAN PBEsol geometry
data_Mg2AgMo
_chemical_formula_sum 'Mg2 Ag1 Mo1'
_symmetry_space_group_name_H-M 'P 1'
_symmetry_Int_Tables_number 1
_cell_length_a 2.882
_cell_length_b 2.882
_cell_length_c 9.690
_cell_angle_alpha 81.45
_cell_angle_beta 81.45
_cell_angle_gamma 60.00
loop_
_symmetry_equiv_pos_as_xyz
'x,y,z'
loop_
_atom_site_label
_atom_site_type_symbol
_atom_site_fract_x
_atom_site_fract_y
_atom_site_fract_z
Ag1 Ag 0.000 0.000 0.000
Mg1 Mg 0.250 0.250 0.249
Mg2 Mg 0.750 0.750 0.751
Mo1 Mo 0.500 0.500 0.500
# Size of the total moment in μB/atom: 0.00
# Uncorrected energy in eV per atom: -18.867
# Space-group type: R-3m (166)

(15)
# KTaBe2 meta-GGA SCAN PBEsol geometry
data_KTaBe2
_chemical_formula_sum 'K1 Ta1 Be2'
_symmetry_space_group_name_H-M 'P 1'
_symmetry_Int_Tables_number 1
_cell_length_a 2.887
_cell_length_b 2.887
_cell_length_c 9.884
_cell_angle_alpha 81.60
_cell_angle_beta 81.60
_cell_angle_gamma 60.00
loop_
_symmetry_equiv_pos_as_xyz
'x,y,z'
loop_
_atom_site_label
_atom_site_type_symbol
_atom_site_fract_x
_atom_site_fract_y
_atom_site_fract_z
Be1 Be 0.236 0.236 0.291
Be2 Be 0.764 0.764 0.709
K1 K 0.000 0.000 0.000
Ta1 Ta 0.500 0.500 0.500
# Size of the total moment in μB/atom: 0.00
# Uncorrected energy in eV per atom: -20.017
# Space-group type: R-3m (166)

(16)
# Zr3NiIr meta-GGA SCAN PBEsol geometry
data_Zr3NiIr
_chemical_formula_sum 'Zr3 Ni1 Ir1'
_symmetry_space_group_name_H-M 'P 1'
_symmetry_Int_Tables_number 1
_cell_length_a 4.954
_cell_length_b 4.954
_cell_length_c 4.954
_cell_angle_alpha 90.00
_cell_angle_beta 90.00
_cell_angle_gamma 90.00
loop_
_symmetry_equiv_pos_as_xyz
'x,y,z'
loop_
_atom_site_label
_atom_site_type_symbol
_atom_site_fract_x
_atom_site_fract_y
_atom_site_fract_z
Ni1 Ni 0.500 0.500 0.500
Ir1 Ir 0.000 0.000 0.000
Zr1 Zr 0.000 0.500 0.000
Zr2 Zr 0.000 0.000 0.500
Zr3 Zr 0.500 0.000 0.000
# Size of the total moment in μB/atom: 0.00
# Uncorrected energy in eV per atom: -35.449
# Space-group type: Pm-3m (221)

(17)
# SrNb2AlPb meta-GGA SCAN PBEsol geometry
data_SrNb2AlPb
_chemical_formula_sum 'Sr1 Nb2 Al1 Pb1'
_symmetry_space_group_name_H-M 'P 1'
_symmetry_Int_Tables_number 1
_cell_length_a 4.933
_cell_length_b 4.933
_cell_length_c 5.346
_cell_angle_alpha 90.00
_cell_angle_beta 90.00
_cell_angle_gamma 90.00
loop_
_symmetry_equiv_pos_as_xyz
'x,y,z'
loop_
_atom_site_label
_atom_site_type_symbol
_atom_site_fract_x
_atom_site_fract_y
_atom_site_fract_z
Pb1 Pb 0.500 0.500 0.500
Sr1 Sr 0.000 0.000 0.000
Nb1 Nb 0.000 0.500 0.000
Nb2 Nb 0.500 0.000 0.000
Al1 Al 0.000 0.000 0.500
# Size of the total moment in μB/atom: 0.00
# Uncorrected energy in eV per atom: -32.150
# Space-group type: P4/mmm (123)

(18)
# AlSbMo2 meta-GGA SCAN PBEsol geometry
data_AlSbMo2
_chemical_formula_sum 'Al1 Sb1 Mo2'
_symmetry_space_group_name_H-M 'P 1'
_symmetry_Int_Tables_number 1
_cell_length_a 3.998
_cell_length_b 3.998
_cell_length_c 4.980
_cell_angle_alpha 113.66
_cell_angle_beta 113.66
_cell_angle_gamma 90.00
loop_
_symmetry_equiv_pos_as_xyz
'x,y,z'
loop_
_atom_site_label
_atom_site_type_symbol
_atom_site_fract_x
_atom_site_fract_y
_atom_site_fract_z
Sb1 Sb 0.500 0.500 0.000
Mo1 Mo 0.000 0.000 0.000
Mo2 Mo 0.750 0.250 0.500
Al1 Al 0.250 0.750 0.500
# Size of the total moment in μB/atom: 0.00
# Uncorrected energy in eV per atom: -28.495
# Space-group type: I-4m2 (119)

(19)
# HPd3Se meta-GGA SCAN PBEsol geometry
data_HPd3Se
_chemical_formula_sum 'H1 Pd3 Se1'
_symmetry_space_group_name_H-M 'P 1'
_symmetry_Int_Tables_number 1
_cell_length_a 4.626
_cell_length_b 4.626
_cell_length_c 4.626
_cell_angle_alpha 90.00
_cell_angle_beta 90.00
_cell_angle_gamma 90.00
loop_
_symmetry_equiv_pos_as_xyz
'x,y,z'
loop_
_atom_site_label
_atom_site_type_symbol
_atom_site_fract_x
_atom_site_fract_y
_atom_site_fract_z
H1 H 0.500 0.500 0.500
Se1 Se 0.000 0.000 0.000
Pd1 Pd 0.000 0.500 0.000
Pd2 Pd 0.000 0.000 0.500
Pd3 Pd 0.500 0.000 0.000
# Size of the total moment in μB/atom: 0.18
# Uncorrected energy in eV per atom: -23.592
# Space-group type: Pm-3m (221)

(20)
# Al2Rh meta-GGA SCAN PBEsol geometry
data_Al2Rh
_chemical_formula_sum 'Al2 Rh1'
_symmetry_space_group_name_H-M 'P 1'
_symmetry_Int_Tables_number 1
_cell_length_a 2.781
_cell_length_b 4.223
_cell_length_c 4.223
_cell_angle_alpha 90.00
_cell_angle_beta 90.00
_cell_angle_gamma 90.00
loop_
_symmetry_equiv_pos_as_xyz
'x,y,z'
loop_
_atom_site_label
_atom_site_type_symbol
_atom_site_fract_x
_atom_site_fract_y
_atom_site_fract_z
Rh1 Rh 0.000 0.000 0.000
Al1 Al 0.500 0.000 0.500
Al2 Al 0.500 0.500 0.000
# Size of the total moment in μB/atom: 0.00
# Uncorrected energy in eV per atom: -17.286
# Space-group type: P4/mmm (123)